(1)
VASP calculation (PBE-GGA) on an optimized crystal structure of GeBPt2.

Lattice parameters (Å, degrees): 5.1707 5.1707 6.3772 66.08 66.08 90.00
Fractional positions:
Ge1 0.0000 0.0000 0.0000
Ge2 0.7500 0.2500 0.5000
Pt1 0.5584 0.1250 0.2500
Pt2 0.1916 0.6250 0.2500
Pt3 0.8750 0.8084 0.7500
Pt4 0.3750 0.4416 0.7500
B1 0.2500 0.7500 0.5000
B2 0.5000 0.5000 0.0000

## Properties
SG: I-42d
energy of formation from the pure elements: -0.164 eV/atom
Fermi-level density of states: 1.4 states/eV/f.u.
polymorph energy (0 for the lowest one): 0 meV/atom

=====

(2)
VASP calculation (PBE-GGA) on an optimized crystal structure of GeBPt3.

Lattice parameters (Å, degrees): 4.6636 4.6636 4.6636 90.00 90.00 90.00
Fractional positions:
Pt1 0.0000 0.5000 0.0000
Pt2 0.5000 0.0000 0.0000
Pt3 0.0000 0.0000 0.5000
Ge1 0.0000 0.0000 0.0000
B1 0.5000 0.5000 0.5000

## Properties
SG: Pm-3m
energy of formation from the pure elements: 1.389 eV/atom
Fermi-level density of states: 6.1 states/eV/f.u.
polymorph energy (0 for the lowest one): 1594 meV/atom

=====

(3)
VASP calculation (PBE-GGA) on an optimized crystal structure of GeBPt3.

Lattice parameters (Å, degrees): 5.5034 8.7229 7.8873 120.50 90.00 90.00
Fractional positions:
Ge1 0.7287 0.5887 0.1313
Ge2 0.2713 0.4113 0.8687
Ge3 0.2287 0.4113 0.3687
Ge4 0.7713 0.5887 0.6313
Pt1 0.6115 0.0433 0.1793
Pt2 0.0170 0.6860 0.9440
Pt3 0.4830 0.6860 0.4440
Pt4 0.4878 0.3177 0.0765
Pt5 0.5170 0.3140 0.5560
Pt6 0.9878 0.6823 0.4235
Pt7 0.9830 0.3140 0.0560
Pt8 0.5122 0.6823 0.9235
Pt9 0.8885 0.0433 0.6793
Pt10 0.0122 0.3177 0.5765
Pt11 0.1115 0.9567 0.3207
Pt12 0.3885 0.9567 0.8207
B1 0.2762 0.9086 0.0516
B2 0.2238 0.9086 0.5516
B3 0.7762 0.0914 0.4484
B4 0.7238 0.0914 0.9484

## Properties
SG: P2_1/c
energy of formation from the pure elements: -0.204 eV/atom
Fermi-level density of states: 1.6 states/eV/f.u.
polymorph energy (0 for the lowest one): 0 meV/atom